BrO: relaxed, PBE.

Lattice parameters (Å, degrees): 10.6239 10.6239 2.9600 90.00 90.00 120.00
Space group P6_3/m (No. 176)
Unique sites:
Br: 0.1581 0.7499 0.2500 x6
O: 0.1064 0.4415 0.2500 x6

Properties
Formation energy without anion corrections: 0.405 eV/atom
Energy: -34.92 eV/cell
Energy relative to the lowest polymorph listed for this composition: 0.262 eV/atom
Crystal system: hexagonal

BaAg2Au2: relaxed, PBE.

Lattice parameters (Å, degrees): 5.079 5.079 10.072 90.00 90.00 90.00
Space group I4/mmm (No. 139)
Unique sites:
Ba: 0.000 0.000 0.000 x2
Ag: 0.000 0.000 0.364 x4
Au: 0.000 0.500 0.250 x4

Properties
Energy: -31.55 eV/cell
Energy relative to the lowest polymorph listed for this composition: 0.048 eV/atom
Crystal system: tetragonal

energy of number 2 (BaAg2Au2)? -31.55 eV/cell